First-principles (PBE) data for a geometry-optimized TeAuCl2 structure, as listed in Alexandria via LeMat-Bulk.

Results
* space group: P4/mmm
* N(E_F): 3.06 states/eV/cell
* offset from the most stable computed form: 523 meV/atom
* spin magnetization: 0.51 μB per formula unit

abc: 3.248 3.248 8.558
angles: 90.00 90.00 90.00
Each line ends with the local moment (μB).
Fractional coordinates of all 4 atoms:
Au 0.500 0.500 0.750  0.02
Cl 0.000 0.000 0.540  0.03
Cl 0.000 0.000 0.960  0.03
Te 0.500 0.500 0.250  0.25


First-principles (PBE) data for a geometry-optimized TeAu2Cl structure, as listed in Alexandria via LeMat-Bulk.

Results
* space group: Imm2
* N(E_F): 2.33 states/eV/cell
* offset from the most stable computed form: 122 meV/atom
* spin magnetization: 0.23 μB per formula unit

abc: 5.980 5.980 5.980
angles: 139.72 93.68 99.96
Each line ends with the local moment (μB).
Fractional coordinates of all 4 atoms:
Te 0.815 0.315 0.500  0.11
Au 0.017 0.017 0.000  0.02
Au 0.240 0.740 0.500  0.00
Cl 0.428 0.428 0.000  0.00


First-principles (PBE) data for a geometry-optimized TeAu2Cl structure, as listed in Alexandria via LeMat-Bulk.

Results
* space group: P4mm
* N(E_F): 2.37 states/eV/cell
* offset from the most stable computed form: 140 meV/atom
* spin magnetization: 0.00 μB per formula unit

abc: 3.793 3.793 7.004
angles: 90.00 90.00 90.00
Fractional coordinates of all 4 atoms:
Au 0.500 0.500 0.234
Au 0.000 0.000 0.980
Cl 0.000 0.000 0.428
Te 0.500 0.500 0.858


First-principles (PBE) data for a geometry-optimized Te3AuCl structure, as listed in Alexandria via LeMat-Bulk.

Results
* space group: Pm-3m
* N(E_F): 4.32 states/eV/cell
* offset from the most stable computed form: 1055 meV/atom
* spin magnetization: 0.00 μB per formula unit

abc: 5.361 5.361 5.361
angles: 90.00 90.00 90.00
Fractional coordinates of all 5 atoms:
Te 0.500 0.000 0.000
Te 0.000 0.000 0.500
Te 0.000 0.500 0.000
Cl 0.000 0.000 0.000
Au 0.500 0.500 0.500


First-principles (PBE) data for a geometry-optimized TeAu2Cl structure, as listed in Alexandria via LeMat-Bulk.

Results
* space group: Pmmm
* N(E_F): 2.26 states/eV/cell
* offset from the most stable computed form: 310 meV/atom
* spin magnetization: 0.00 μB per formula unit

abc: 3.019 4.842 6.146
angles: 90.00 90.00 90.00
Fractional coordinates of all 4 atoms:
Au 0.000 0.000 0.000
Au 0.500 0.500 0.000
Te 0.000 0.500 0.500
Cl 0.500 0.000 0.500


First-principles (PBE) data for a geometry-optimized TeAu2Cl structure, as listed in Alexandria via LeMat-Bulk.

Results
* space group: Fm-3m
* N(E_F): 6.44 states/eV/cell
* offset from the most stable computed form: 421 meV/atom
* spin magnetization: 0.00 μB per formula unit

abc: 4.970 4.970 4.970
angles: 60.00 60.00 60.00
Fractional coordinates of all 4 atoms:
Au 0.250 0.250 0.250
Au 0.750 0.750 0.750
Cl 0.000 0.000 0.000
Te 0.500 0.500 0.500


First-principles (PBE) data for a geometry-optimized TeAuCl2 structure, as listed in Alexandria via LeMat-Bulk.

Results
* space group: Fm-3m
* N(E_F): 5.26 states/eV/cell
* offset from the most stable computed form: 736 meV/atom
* spin magnetization: 1.21 μB per formula unit

abc: 5.078 5.078 5.078
angles: 60.00 60.00 60.00
Each line ends with the local moment (μB).
Fractional coordinates of all 4 atoms:
Au 0.000 0.000 0.000  0.07
Te 0.500 0.500 0.500  0.51
Cl 0.750 0.750 0.750  0.12
Cl 0.250 0.250 0.250  0.12


First-principles (PBE) data for a geometry-optimized TeAu2Cl structure, as listed in Alexandria via LeMat-Bulk.

Results
* space group: I-4m2
* N(E_F): 2.65 states/eV/cell
* offset from the most stable computed form: 401 meV/atom
* spin magnetization: 0.00 μB per formula unit

abc: 5.231 5.231 5.231
angles: 128.30 128.30 76.14
Fractional coordinates of all 4 atoms:
Cl 0.500 0.500 0.000
Te 0.750 0.250 0.500
Au 0.250 0.750 0.500
Au 0.000 0.000 0.000


First-principles (PBE) data for a geometry-optimized Te6Au2Cl structure, as listed in Alexandria via LeMat-Bulk.

Results
* space group: C2/c
* N(E_F): 6.48 states/eV/cell
* spin magnetization: 0.00 μB per formula unit
* VASP energy: -0.1129 hartree per atom

abc: 9.818 8.324 8.324
angles: 66.19 84.64 84.64
Fractional coordinates of all 18 atoms:
Te 0.361 0.964 0.177
Te 0.139 0.823 0.036
Te 0.397 0.434 0.936
Te 0.603 0.566 0.064
Te 0.861 0.177 0.964
Te 0.639 0.036 0.823
Te 0.623 0.319 0.514
Te 0.103 0.064 0.566
Te 0.877 0.486 0.681
Te 0.377 0.681 0.486
Te 0.123 0.514 0.319
Te 0.897 0.936 0.434
Au 0.748 0.247 0.244
Au 0.752 0.756 0.753
Au 0.248 0.244 0.247
Au 0.252 0.753 0.756
Cl 0.750 0.792 0.208
Cl 0.250 0.208 0.792


First-principles (PBE) data for a geometry-optimized TeAu2Cl structure, as listed in Alexandria via LeMat-Bulk.

Results
* space group: P4/mmm
* N(E_F): 2.66 states/eV/cell
* offset from the most stable computed form: 343 meV/atom
* spin magnetization: 0.00 μB per formula unit

abc: 5.261 5.261 3.150
angles: 90.00 90.00 90.00
Fractional coordinates of all 4 atoms:
Au 0.000 0.000 0.000
Au 0.500 0.500 0.000
Te 0.000 0.500 0.500
Cl 0.500 0.000 0.500


First-principles (PBE) data for a geometry-optimized Te3AuCl structure, as listed in Alexandria via LeMat-Bulk.

Results
* space group: P2_1/c
* N(E_F): 1.87 states/eV/cell
* offset from the most stable computed form: 0 meV/atom
* spin magnetization: 0.00 μB per formula unit

abc: 7.035 9.817 10.817
angles: 122.33 90.00 90.00
Fractional coordinates of all 20 atoms:
Te 0.950 0.785 0.863
Te 0.190 0.675 0.601
Te 0.450 0.215 0.637
Te 0.915 0.887 0.580
Te 0.585 0.887 0.080
Te 0.050 0.215 0.137
Te 0.310 0.675 0.101
Te 0.550 0.785 0.363
Te 0.085 0.113 0.420
Te 0.415 0.113 0.920
Te 0.690 0.325 0.899
Te 0.810 0.325 0.399
Au 0.137 0.939 0.127
Au 0.363 0.939 0.627
Au 0.863 0.061 0.873
Au 0.637 0.061 0.373
Cl 0.029 0.577 0.206
Cl 0.471 0.577 0.706
Cl 0.971 0.423 0.794
Cl 0.529 0.423 0.294


First-principles (PBE) data for a geometry-optimized TiTe2AuCl structure, as listed in Alexandria via LeMat-Bulk.

Results
* space group: P4/mmm
* N(E_F): 3.41 states/eV/cell
* spin magnetization: 1.96 μB per formula unit
* VASP energy: -0.1138 hartree per atom

abc: 5.516 4.755 5.516
angles: 90.00 90.00 90.00
Each line ends with the local moment (μB).
Fractional coordinates of all 5 atoms:
Cl 0.000 0.000 0.000  0.02
Au 0.000 0.500 0.000  0.00
Ti 0.500 0.500 0.500  1.72
Te 0.000 0.000 0.500  -0.06
Te 0.500 0.000 0.000  -0.05


First-principles (PBE) data for a geometry-optimized TlTe2AuCl structure, as listed in Alexandria via LeMat-Bulk.

Results
* space group: P4/mmm
* N(E_F): 5.36 states/eV/cell
* spin magnetization: 0.00 μB per formula unit
* VASP energy: -0.1005 hartree per atom

abc: 5.500 5.243 5.500
angles: 90.00 90.00 90.00
Fractional coordinates of all 5 atoms:
Cl 0.000 0.500 0.000
Au 0.000 0.000 0.000
Te 0.000 0.000 0.500
Te 0.500 0.000 0.000
Tl 0.500 0.500 0.500


First-principles (PBE) data for a geometry-optimized TeWAuCl2 structure, as listed in Alexandria via LeMat-Bulk.

Results
* space group: P4/mmm
* N(E_F): 2.59 states/eV/cell
* spin magnetization: 4.19 μB per formula unit
* VASP energy: -0.1317 hartree per atom

abc: 4.760 6.009 4.760
angles: 90.00 90.00 90.00
Each line ends with the local moment (μB).
Fractional coordinates of all 5 atoms:
Au 0.000 0.000 0.000  -0.01
Te 0.000 0.500 0.000  -0.17
W 0.500 0.500 0.500  3.25
Cl 0.500 0.000 0.000  0.02
Cl 0.000 0.000 0.500  0.02


First-principles (PBE) data for a geometry-optimized Y3TeAuCl structure, as listed in Alexandria via LeMat-Bulk.

Results
* space group: P2_1/m
* N(E_F): 9.24 states/eV/cell
* spin magnetization: 0.00 μB per formula unit
* VASP energy: -0.2112 hartree per atom

abc: 4.068 8.802 9.769
angles: 97.12 90.00 90.00
Fractional coordinates of all 12 atoms:
Y 0.750 0.832 0.123
Y 0.250 0.168 0.877
Y 0.750 0.355 0.583
Y 0.750 0.364 0.189
Y 0.250 0.636 0.811
Y 0.250 0.645 0.417
Te 0.250 0.099 0.186
Te 0.750 0.901 0.814
Cl 0.250 0.148 0.587
Cl 0.750 0.852 0.413
Au 0.750 0.418 0.891
Au 0.250 0.582 0.109


First-principles (PBE) data for a geometry-optimized TiAuCl2 structure, as listed in Alexandria via LeMat-Bulk.

Results
* space group: I-42d
* N(E_F): 10.31 states/eV/cell
* offset from the most stable computed form: 255 meV/atom
* spin magnetization: 0.00 μB per formula unit

abc: 8.578 8.578 6.619
angles: 49.61 49.61 90.00
Fractional coordinates of all 8 atoms:
Cl 0.875 0.726 0.750
Cl 0.375 0.524 0.750
Cl 0.476 0.125 0.250
Cl 0.274 0.625 0.250
Au 0.000 0.000 0.000
Au 0.750 0.250 0.500
Ti 0.500 0.500 0.000
Ti 0.250 0.750 0.500


First-principles (PBE) data for a geometry-optimized TiAuCl2 structure, as listed in Alexandria via LeMat-Bulk.

Results
* space group: R-3m
* N(E_F): 1.22 states/eV/cell
* offset from the most stable computed form: 0 meV/atom
* spin magnetization: 0.00 μB per formula unit

abc: 10.472 10.472 10.472
angles: 16.96 16.96 16.96
Fractional coordinates of all 4 atoms:
Cl 0.887 0.887 0.887
Cl 0.113 0.113 0.113
Au 0.000 0.000 0.000
Ti 0.500 0.500 0.500


First-principles (PBE) data for a geometry-optimized Ti2AuCl structure, as listed in Alexandria via LeMat-Bulk.

Results
* space group: I-42d
* N(E_F): 2.64 states/eV/cell
* offset from the most stable computed form: 147 meV/atom
* spin magnetization: 0.00 μB per formula unit

abc: 4.908 4.908 7.851
angles: 71.79 71.79 90.00
Fractional coordinates of all 8 atoms:
Ti 0.577 0.125 0.250
Ti 0.875 0.827 0.750
Ti 0.375 0.423 0.750
Ti 0.173 0.625 0.250
Cl 0.250 0.750 0.500
Cl 0.500 0.500 0.000
Au 0.750 0.250 0.500
Au 0.000 0.000 0.000


First-principles (PBE) data for a geometry-optimized TiAu2Cl6 structure, as listed in Alexandria via LeMat-Bulk.

Results
* space group: C2/c
* spin magnetization: 0.00 μB per formula unit
* VASP energy: -0.1373 hartree per atom

abc: 14.573 7.260 7.260
angles: 122.66 77.16 77.16
Fractional coordinates of all 18 atoms:
Cl 0.896 0.524 0.748
Cl 0.104 0.476 0.252
Cl 0.396 0.748 0.524
Cl 0.836 0.115 0.061
Cl 0.841 0.842 0.323
Cl 0.336 0.061 0.115
Cl 0.664 0.939 0.885
Cl 0.659 0.677 0.158
Cl 0.159 0.158 0.677
Cl 0.164 0.885 0.939
Cl 0.604 0.252 0.476
Cl 0.341 0.323 0.842
Ti 0.250 0.126 0.874
Ti 0.750 0.874 0.126
Au 0.137 0.668 0.591
Au 0.363 0.409 0.332
Au 0.637 0.591 0.668
Au 0.863 0.332 0.409


First-principles (PBE) data for a geometry-optimized TiAu3Cl structure, as listed in Alexandria via LeMat-Bulk.

Results
* space group: Pm-3m
* N(E_F): 11.64 states/eV/cell
* offset from the most stable computed form: 0 meV/atom
* spin magnetization: 0.00 μB per formula unit

abc: 5.057 5.057 5.057
angles: 90.00 90.00 90.00
Fractional coordinates of all 5 atoms:
Cl 0.500 0.500 0.500
Au 0.000 0.000 0.500
Au 0.500 0.000 0.000
Au 0.000 0.500 0.000
Ti 0.000 0.000 0.000